(1)
VASP calculation (meta-GGA SCAN) on SbOsSN2 at its PBEsol-relaxed geometry.

Cell: 3.8527 3.8527 4.9398 Å, 90.00 90.00 90.00°
With the nearest neighbours (Å) after each atom.
Fractional positions:
1 Sb 0.5000 0.5000 0.5000  4 S 2.72
2 S 0.0000 0.0000 0.5000  2 Os 2.47, 4 Sb 2.72
3 Os 0.0000 0.0000 0.0000  4 N 1.93
4 N 0.0000 0.5000 0.0000  2 Os 1.93
5 N 0.5000 0.0000 0.0000  2 Os 1.93

Properties
For the volume, the calculation gives 14.66 Å³ per atom. The value obtained for the energy relative to the elements, uncorrected is 774 meV per atom. The value obtained for the total energy is -1.96213 Ry per atom. The calculation puts the total magnetization at 0.00 μB per cell.

---

(2)
VASP calculation (meta-GGA SCAN) on TaOs at its PBEsol-relaxed geometry.

Cell: 3.9867 3.9867 5.2458 Å, 90.00 90.00 120.00°
With the nearest neighbours (Å) after each atom.
Fractional positions:
1 Os 0.0000 0.0000 0.0000  2 Os 2.62, 6 Ta 2.65
2 Os 0.0000 0.0000 0.5000  2 Os 2.62, 6 Ta 2.65
3 Ta 0.6667 0.3333 0.7500  6 Os 2.65
4 Ta 0.3333 0.6667 0.2500  6 Os 2.65

Properties
For the volume, the calculation gives 18.05 Å³ per atom. The value obtained for the total energy is -5.08841 Ry per atom. The calculation puts the total magnetization at 0.00 μB per cell. For the formation energy, the calculation gives 0.00 eV/f.u.

---

(3)
VASP calculation (meta-GGA SCAN) on Nd2ZnIr at its PBEsol-relaxed geometry.

Cell: 5.0151 5.0151 5.0151 Å, 60.00 60.00 60.00°
With the nearest neighbours (Å) after each atom.
Fractional positions:
1 Zn 0.0000 0.0000 0.0000  8 Nd 3.07
2 Ir 0.5000 0.5000 0.5000  8 Nd 3.07
3 Nd 0.2500 0.2500 0.2500  4 Zn 3.07, 4 Ir 3.07
4 Nd 0.7500 0.7500 0.7500  4 Ir 3.07, 4 Zn 3.07

Properties
For the volume, the calculation gives 22.30 Å³ per atom. The value obtained for the total energy is -3.20035 Ry per atom. The calculation puts the total magnetization at 0.00 μB per cell. For the formation energy, the calculation gives -2.39 eV/f.u.

---

(4)
VASP calculation (meta-GGA SCAN) on Nb10Pb14O39 at its PBEsol-relaxed geometry.

Cell: 7.5272 7.5605 16.6858 Å, 90.00 103.04 90.00°
With the nearest neighbours (Å) after each atom.
Fractional positions:
1 Nb 0.1663 0.5000 0.8332  6 O 1.97-2.04
2 Nb 0.0003 0.7503 0.0006  6 O 1.98-2.05
3 Nb 0.3344 0.2443 0.6689  6 O 1.91-2.11
4 Nb 0.3344 0.7557 0.6689  6 O 1.91-2.11
5 Nb 0.3363 0.0000 0.1658  6 O 1.95-2.07
6 Nb 0.6669 0.5000 0.8332  6 O 1.97-2.04
7 Nb 0.6656 0.2554 0.3312  6 O 1.91-2.10
8 Nb 0.6656 0.7446 0.3312  6 O 1.91-2.10
9 Nb 0.0003 0.2497 0.0006  6 O 1.98-2.05
10 Nb 0.8296 0.0000 0.1658  6 O 1.95-2.07
11 Pb 0.0055 0.5000 0.5133  3 O 2.19-2.35
12 Pb 0.1636 0.0000 0.8338  1 O 2.30
13 Pb 0.1714 0.7378 0.3428  2 O 2.21-2.45
14 Pb 0.1714 0.2622 0.3428  2 O 2.21-2.45
15 Pb 0.4977 0.7452 0.9953  1 O 2.20
16 Pb 0.6703 0.0000 0.8338  1 O 2.30
17 Pb 0.4958 0.0000 0.4878  3 O 2.22-2.35
18 Pb 0.5078 0.5000 0.5133  3 O 2.19-2.35
19 Pb 0.3337 0.5000 0.1672  5 O 2.45-2.66
20 Pb 0.4977 0.2548 0.9953  1 O 2.20
21 Pb 0.8302 0.7609 0.6603  4 O 2.33-2.57
22 Pb 0.8302 0.2391 0.6603  4 O 2.33-2.57
23 Pb 0.8335 0.5000 0.1672  5 O 2.45-2.66
24 Pb 0.9920 0.0000 0.4878  3 O 2.22-2.35
25 O 0.1495 0.6886 0.9183  2 Nb 2.02-2.04
26 O 0.1495 0.3114 0.9183  2 Nb 2.02-2.04
27 O 0.1863 0.6972 0.7586  2 Nb 1.97-2.11
28 O 0.1863 0.3028 0.7586  2 Nb 1.97-2.11
29 O 0.1054 0.7987 0.5943  1 Nb 1.91
30 O 0.1054 0.2013 0.5943  1 Nb 1.91
31 O 0.1320 0.5000 0.2639  4 Pb 2.21-2.45
32 O 0.0211 0.5000 0.0422  2 Nb 2.01
33 O 0.0985 0.0000 0.1970  2 Nb 1.97
34 O 0.3198 0.5000 0.6395  2 Nb 1.99
35 O 0.2226 0.5000 0.4453  4 Pb 2.19-2.45
36 O 0.4407 0.5000 0.8815  2 Nb 2.04
37 O 0.3606 0.0000 0.7211  2 Nb 2.03
38 O 0.2323 0.1896 0.0779  2 Nb 1.98-2.07
39 O 0.4889 0.2013 0.5943  1 Nb 1.91
40 O 0.4889 0.7987 0.5943  1 Nb 1.91
41 O 0.5723 0.3028 0.7586  2 Nb 1.97-2.11
42 O 0.5723 0.6972 0.7586  2 Nb 1.97-2.11
43 O 0.2323 0.8104 0.0779  2 Nb 1.98-2.07
44 O 0.7688 0.3114 0.9183  2 Nb 2.02-2.04
45 O 0.4303 0.1925 0.2412  2 Nb 1.95-2.10
46 O 0.4303 0.8075 0.2412  2 Nb 1.95-2.10
47 O 0.5123 0.3005 0.4061  1 Nb 1.91
48 O 0.5123 0.6995 0.4061  1 Nb 1.91
49 O 0.7688 0.6886 0.9183  2 Nb 2.02-2.04
50 O 0.5340 0.5000 0.0681  2 Pb 2.20
51 O 0.5585 0.0000 0.1171  2 Nb 2.02
52 O 0.6818 0.0000 0.3635  2 Nb 2.00
53 O 0.6389 0.5000 0.2779  2 Nb 2.04
54 O 0.8752 0.0000 0.7505  4 Pb 2.30-2.33
55 O 0.8981 0.5000 0.7961  2 Nb 1.97
56 O 0.9756 0.0000 0.9511  2 Nb 2.05
57 O 0.7806 0.0000 0.5613  4 Pb 2.22-2.42
58 O 0.8938 0.6995 0.4061  1 Nb 1.91
59 O 0.8938 0.3005 0.4061  1 Nb 1.91
60 O 0.8109 0.8075 0.2412  2 Nb 1.95-2.10
61 O 0.8109 0.1925 0.2412  2 Nb 1.95-2.10
62 O 0.8456 0.8104 0.0779  2 Nb 1.98-2.07
63 O 0.8456 0.1896 0.0779  2 Nb 1.98-2.07

Properties
For the volume, the calculation gives 14.68 Å³ per atom. The value obtained for the energy relative to the elements, uncorrected is -2123 meV per atom. The value obtained for the total energy is -2.06383 Ry per atom. The calculation puts the total magnetization at 0.00 μB per cell.

---

(5)
VASP calculation (meta-GGA SCAN) on Al2CrB2Mo at its PBEsol-relaxed geometry.

Cell: 3.0269 3.0905 7.1016 Å, 102.57 90.00 90.00°
With the nearest neighbours (Å) after each atom.
Fractional positions:
1 Cr 0.0000 0.0865 0.1731  6 B 2.22-2.27
2 Mo 0.5000 0.9132 0.8264  6 B 2.30-2.31
3 B 0.5000 0.5362 0.0724  2 B 1.76
4 B 0.0000 0.4712 0.9424  2 B 1.76
5 Al 0.5000 0.6919 0.3838  1 B 2.16
6 Al 0.0000 0.3009 0.6019  1 B 2.36, 4 Al 2.64

Properties
For the volume, the calculation gives 10.81 Å³ per atom. The value obtained for the total energy is -1.05453 Ry per atom. The calculation puts the total magnetization at 0.01 μB per cell. For the formation energy, the calculation gives -2.45 eV/f.u.

---

(6)
VASP calculation (meta-GGA SCAN) on Fe2CuN2 at its PBEsol-relaxed geometry.

Cell: 2.9375 2.9375 6.7772 Å, 90.00 90.00 120.00°
With the nearest neighbours (Å) after each atom.
Fractional positions:
1 Fe 0.6667 0.3333 0.8425  3 N 1.76
2 Fe 0.3333 0.6667 0.1575  3 N 1.76
3 Cu 0.0000 0.0000 0.5000  2 N 1.86
4 N 0.0000 0.0000 0.2261  3 Fe 1.76, 1 Cu 1.86
5 N 0.0000 0.0000 0.7739  3 Fe 1.76, 1 Cu 1.86

Properties
For the volume, the calculation gives 10.13 Å³ per atom. The value obtained for the energy relative to the elements, uncorrected is 142 meV per atom. The value obtained for the total energy is -1.01915 Ry per atom. The calculation puts the total magnetization at 0.00 μB per cell.